A plane-wave DFT calculation with GGA-PBE was carried out for a relaxed TlPbSeI crystal.

Summary:
For the uncorrected energy, the calculation gives -13.374 eV per formula unit. The calculation puts the uncorrected formation energy at -0.57 eV per atom.

```
TlPbSeI
1.0
4.5029 0.0000 0.0000
-2.2514 3.8996 0.0000
0.0000 0.0000 24.8869
Tl Pb Se I
3 3 3 3
Cartesian
0.0000 0.0000 0.0000 Tl
0.0000 2.5997 16.5912 Tl
2.2514 1.2999 8.2956 Tl
0.0000 0.0000 20.0980 Pb
0.0000 2.5997 11.8024 Pb
2.2514 1.2999 3.5068 Pb
0.0000 0.0000 10.2717 Se
0.0000 2.5997 1.9761 Se
2.2514 1.2999 18.5673 Se
0.0000 0.0000 5.7390 I
0.0000 2.5997 22.3302 I
2.2514 1.2999 14.0346 I
```

---

A plane-wave DFT calculation with GGA-PBE was carried out for a relaxed ZrPbSe2I crystal.

Summary:
For the uncorrected energy, the calculation gives -15.855 eV per formula unit. The calculation puts the uncorrected formation energy at 0.98 eV per atom.

```
ZrPbSe2I
1.0
5.2589 0.0000 0.0000
0.0000 5.2589 0.0000
0.0000 0.0000 5.9712
Zr Pb Se I
1 1 2 1
Cartesian
0.0000 0.0000 0.0000 Zr
2.6294 2.6294 0.0000 Pb
0.0000 2.6294 2.9856 Se
2.6294 0.0000 2.9856 Se
2.6294 2.6294 2.9856 I
```